# 1
A plane-wave DFT calculation with GGA-PBE was carried out for a relaxed InP crystal.

Results
Formation energy (meV per atom): 507
Symmetry: No. 227

Geometry as POSCAR:
```
InP
1.0
4.905 0.000 0.000
2.452 4.248 0.000
2.452 1.416 4.005
P In
2 2
Direct
0.750 0.750 0.750
0.500 0.500 0.500
0.250 0.250 0.250
0.000 0.000 0.000
```

---

# 2
A plane-wave DFT calculation with GGA-PBE was carried out for a relaxed HoTl3As2O6 crystal.

Results
Formation energy (no corrections) (eV/atom): -1.568
Symmetry: No. 164

Geometry as POSCAR:
```
HoTl3As2O6
1.0
-2.918 -4.711 2.300
0.436 0.646 -5.949
6.262 -3.858 0.040
Tl O As Ho
3 6 2 1
Direct
0.333 0.667 0.680
0.000 0.000 0.000
0.667 0.333 0.320
0.642 0.821 0.324
0.179 0.358 0.324
0.358 0.179 0.676
0.179 0.821 0.324
0.821 0.642 0.676
0.821 0.179 0.676
0.333 0.667 0.213
0.667 0.333 0.787
0.000 0.000 0.500
```

---

# 3
A plane-wave DFT calculation with GGA-PBE was carried out for a relaxed LaCu2Ni crystal.

Results
Formation energy (meV per atom): 86
Symmetry: No. 225

Geometry as POSCAR:
```
LaCu2Ni
1.0
-0.274 -4.364 -1.632
-2.912 -1.001 -3.507
1.699 -1.023 -4.225
La Cu Ni
1 2 1
Direct
0.500 0.500 0.500
0.750 0.750 0.750
0.250 0.250 0.250
0.000 0.000 0.000
```

---

# 4
A plane-wave DFT calculation with GGA-PBE was carried out for a relaxed K3Li3TeO6 crystal.

Results
Formation energy (no corrections) (eV/atom): -1.636
Symmetry: No. 62

Geometry as POSCAR:
```
K3Li3TeO6
1.0
6.058 0.000 0.000
0.000 9.859 0.000
0.000 0.000 11.861
O Li K Te
24 12 12 4
Direct
0.750 0.760 0.675
0.512 0.839 0.353
0.250 0.590 0.163
0.012 0.161 0.647
0.013 0.486 0.341
0.013 0.014 0.841
0.987 0.986 0.159
0.988 0.839 0.353
0.012 0.339 0.147
0.750 0.090 0.337
0.250 0.910 0.663
0.250 0.260 0.825
0.987 0.514 0.659
0.488 0.339 0.147
0.487 0.014 0.841
0.513 0.986 0.159
0.250 0.240 0.325
0.750 0.740 0.175
0.513 0.514 0.659
0.487 0.486 0.341
0.512 0.661 0.853
0.488 0.161 0.647
0.750 0.410 0.837
0.988 0.661 0.853
0.006 0.665 0.256
0.506 0.335 0.744
0.506 0.165 0.244
0.250 0.909 0.249
0.750 0.409 0.251
0.006 0.835 0.756
0.494 0.665 0.256
0.994 0.335 0.744
0.750 0.091 0.751
0.250 0.591 0.749
0.994 0.165 0.244
0.494 0.835 0.756
0.250 0.790 0.007
0.250 0.374 0.528
0.750 0.290 0.493
0.250 0.126 0.028
0.250 0.710 0.507
0.250 0.457 0.962
0.750 0.543 0.038
0.250 0.043 0.462
0.750 0.874 0.972
0.750 0.626 0.472
0.750 0.210 0.993
0.750 0.957 0.538
0.250 0.414 0.244
0.750 0.586 0.756
0.250 0.086 0.744
0.750 0.914 0.256
```

---

# 5
A plane-wave DFT calculation with GGA-PBE was carried out for a relaxed NdY2Ho2Er2 crystal.

Results
Formation energy (meV per atom): 62
Symmetry: No. 12

Geometry as POSCAR:
```
NdY2Ho2Er2
1.0
-3.466 0.055 0.299
0.727 -4.797 -10.930
-0.003 -5.486 0.989
Y Er Nd Ho
2 2 1 2
Direct
0.572 0.144 0.928
0.428 0.856 0.072
0.646 0.291 0.355
0.354 0.709 0.645
0.000 0.000 0.500
0.792 0.585 0.207
0.208 0.415 0.793
```

---

# 6
A plane-wave DFT calculation with GGA-PBE was carried out for a relaxed Hg2BiPb6 crystal.

Results
Excess energy over the best structure of this formula in the dataset (eV per atom): 0.017
Formation energy (meV per atom): 46
Symmetry: No. 187

Geometry as POSCAR:
```
Hg2BiPb6
1.0
3.449 0.000 0.000
-1.724 2.987 0.000
0.000 0.000 26.869
Bi Pb Hg
1 6 2
Direct
0.333 0.667 0.000
0.667 0.333 0.112
0.333 0.667 0.775
0.333 0.667 0.436
0.333 0.667 0.564
0.667 0.333 0.888
0.333 0.667 0.225
0.667 0.333 0.668
0.667 0.333 0.332
```

---

# 7
A plane-wave DFT calculation with GGA-PBE was carried out for a relaxed TcSN2Cl crystal.

Results
Excess energy over the best structure of this formula in the dataset (eV per atom): 0.000
Formation energy (no corrections) (eV/atom): 0.718
Symmetry: No. 123

Geometry as POSCAR:
```
TcSN2Cl
1.0
3.796 0.000 0.000
0.000 3.796 0.000
0.000 0.000 5.201
N Tc Cl S
2 1 1 1
Direct
0.500 0.000 0.000
0.000 0.500 0.000
0.000 0.000 0.000
0.500 0.500 0.500
0.000 0.000 0.500
```

---

# 8
A plane-wave DFT calculation with GGA-PBE was carried out for a relaxed CsIn2Sb2 crystal.

Results
Excess energy over the best structure of this formula in the dataset (eV per atom): 0.020
Formation energy (no corrections) (eV/atom): -0.274
Symmetry: No. 12

Geometry as POSCAR:
```
CsIn2Sb2
1.0
4.955 0.000 0.000
0.000 9.020 -0.542
0.000 0.612 8.806
In Sb Cs
4 4 2
Direct
0.750 0.122 0.914
0.750 0.878 0.586
0.250 0.122 0.414
0.250 0.878 0.086
0.250 0.793 0.417
0.750 0.793 0.917
0.250 0.207 0.083
0.750 0.207 0.583
0.750 0.500 0.250
0.250 0.500 0.750
```

---

# 9
A plane-wave DFT calculation with GGA-PBE was carried out for a relaxed RbMgAlI2 crystal.

Results
Formation energy (no corrections) (eV/atom): 0.030
Symmetry: No. 123

Geometry as POSCAR:
```
RbMgAlI2
1.0
-3.586 4.153 -1.649
-3.439 -0.186 7.010
3.688 3.944 1.914
Al Rb I Mg
1 1 2 1
Direct
0.500 0.500 0.500
0.000 0.500 0.000
0.500 0.000 0.000
0.000 0.000 0.500
0.000 0.000 0.000
```

---

# 10
A plane-wave DFT calculation with GGA-PBE was carried out for a relaxed TlZnCr2 crystal.

Results
Formation energy (meV per atom): 468
Symmetry: No. 8

Geometry as POSCAR:
```
TlZnCr2
1.0
4.865 -0.662 0.135
3.629 3.307 0.135
1.753 0.546 3.749
Tl Cr Zn
1 2 1
Direct
0.499 0.499 0.501
0.001 0.001 0.998
0.749 0.749 0.752
0.251 0.251 0.249
```

---

# 11
A plane-wave DFT calculation with GGA-PBE was carried out for a relaxed BaPdS crystal.

Results
Formation energy (no corrections) (eV/atom): -1.179
Symmetry: No. 1

Geometry as POSCAR:
```
BaPdS
1.0
5.372 0.001 0.000
1.882 4.075 -0.001
-0.911 0.429 7.740
S Ba Pd
2 2 2
Direct
0.332 0.345 0.400
0.875 0.573 0.854
0.672 0.675 0.246
0.263 0.879 0.692
0.767 0.127 0.919
0.228 0.398 0.086
```

---

# 12
A plane-wave DFT calculation with GGA-PBE was carried out for a relaxed MgCr2BiB crystal.

Results
Excess energy over the best structure of this formula in the dataset (eV per atom): 1.648
Formation energy (meV per atom): 1894
Symmetry: No. 123

Geometry as POSCAR:
```
MgCr2BiB
1.0
-4.764 2.225 -0.026
-1.779 -3.848 -3.356
-1.400 -2.949 4.123
B Cr Mg Bi
1 2 1 1
Direct
0.500 0.500 0.500
0.000 0.000 0.500
0.500 0.000 0.000
0.000 0.500 0.000
0.000 0.000 0.000
```

---

Number 1: VASP energy -3.57 eV/atom. Number 2: VASP energy -5.80 eV/atom. Number 3: VASP energy -4.64 eV/atom. Number 4: VASP energy -4.86 eV/atom. Number 5: VASP energy -5.08 eV/atom. Number 6: VASP energy -2.92 eV/atom. Number 7: VASP energy -5.88 eV/atom. Number 8: VASP energy -3.19 eV/atom. Number 9: VASP energy -1.85 eV/atom. Number 10: VASP energy -5.25 eV/atom. Number 11: VASP energy -4.93 eV/atom. Number 12: VASP energy -4.39 eV/atom.